# Pr5AlIn2, relaxed, DFT PBE
# DFT total energy, hartree per atom: -0.16269
# Density of states at the Fermi level, states/eV/atom: 1.21
# Theoretical density, g cm⁻³: 6.3
# Volume, Å³ per atom: 31.659
# Energy relative to the elements, eV/atom: -0.287
# Total magnetization, Bohr magnetons per cell: 0.017
data_Pr5AlIn2
_symmetry_space_group_name_H-M 'I 4/m c m'
_symmetry_Int_Tables_number 140
_symmetry_space_group_name_Hall '-I 4 2c'
_cell_length_a 8.314
_cell_length_b 8.314
_cell_length_c 14.657
_cell_angle_alpha 90.00
_cell_angle_beta 90.00
_cell_angle_gamma 90.00
loop_
_atom_site_label
_atom_site_fract_x
_atom_site_fract_y
_atom_site_fract_z
Pr1 0.000 0.000 0.000
Pr2 0.173 0.327 0.154
Al1 0.000 0.000 0.250
In1 0.124 0.376 0.500

=====

# CaPuBiO6, relaxed, DFT PBE
# DFT total energy, hartree per atom: -0.28471
# Theoretical density, g cm⁻³: 6.9
# Volume, Å³ per atom: 15.757
# Total magnetization, Bohr magnetons per cell: 2.000
# Uncorrected formation energy, eV per atom: -2.20
data_CaPuBiO6
_symmetry_space_group_name_H-M 'P -3 1 c'
_symmetry_Int_Tables_number 163
_symmetry_space_group_name_Hall '-P 3 2c'
_cell_length_a 5.8410
_cell_length_b 5.8410
_cell_length_c 9.5996
_cell_angle_alpha 90.00
_cell_angle_beta 90.00
_cell_angle_gamma 120.00
loop_
_atom_site_label
_atom_site_fract_x
_atom_site_fract_y
_atom_site_fract_z
Ca1 0.0000 0.0000 0.0000
Pu1 0.3333 0.6667 0.2500
Bi1 0.3333 0.6667 0.7500
O1 0.0424 0.3755 0.1349

=====

# Er8Ge5As, relaxed, DFT PBE
# DFT total energy, hartree per atom: -0.20239
# Density of states at the Fermi level, states/eV/atom: 0.54
# Theoretical density, g cm⁻³: 8.9
# Volume, Å³ per atom: 23.787
# Energy relative to the elements, eV/atom: -0.919
# Total magnetization, Bohr magnetons per cell: 0.000
data_Er8Ge5As
_symmetry_space_group_name_H-M 'I -4'
_symmetry_Int_Tables_number 82
_symmetry_space_group_name_Hall 'I -4'
_cell_length_a 8.730
_cell_length_b 8.730
_cell_length_c 8.740
_cell_angle_alpha 90.00
_cell_angle_beta 90.00
_cell_angle_gamma 90.00
loop_
_atom_site_label
_atom_site_fract_x
_atom_site_fract_y
_atom_site_fract_z
Er1 0.067 0.317 0.058
Er2 0.068 0.184 0.690
Ge1 0.000 0.500 0.750
Ge2 0.126 0.250 0.374
As1 0.000 0.000 0.000

=====

# LuPu2Sc, relaxed, DFT PBE
# DFT total energy, hartree per atom: -0.35752
# Density of states at the Fermi level, states/eV/atom: 3.50
# Theoretical density, g cm⁻³: 11.1
# Volume, Å³ per atom: 26.411
# Energy relative to the elements, eV/atom: 0.151
# Total magnetization, Bohr magnetons per cell: 12.343
data_LuPu2Sc
_symmetry_space_group_name_H-M 'P 4/m m m'
_symmetry_Int_Tables_number 123
_symmetry_space_group_name_Hall '-P 4 2'
_cell_length_a 3.283
_cell_length_b 3.283
_cell_length_c 9.801
_cell_angle_alpha 90.00
_cell_angle_beta 90.00
_cell_angle_gamma 90.00
loop_
_atom_site_label
_atom_site_fract_x
_atom_site_fract_y
_atom_site_fract_z
Lu1 0.000 0.000 0.000
Pu1 0.500 0.500 0.258
Sc1 0.000 0.000 0.500

=====

The lowest volume belongs to which entry? CaPuBiO6

=====

What is the total magnetization in the first record? 0.017 Bohr magnetons per cell